No. 1
InCuP: relaxed, PBE.

Properties
DFT total energy   -11.52 eV/f.u.
Calculated volume   55.0 Å³/f.u.

a b c (Å): 4.3559 4.3559 5.8013
angles (deg): 90.00 90.00 90.00
With the nearest neighbours (Å) after each atom.
Space group P4/nmm (No. 129, origin choice 2)
One atom of each set of equivalent atoms:
In 0.2500 0.7500 0.0000 [2 per cell]  4 Cu 2.84, 2 P 2.90, 4 In 3.08
Cu 0.2500 0.2500 0.3143 [2 per cell]  4 P 2.43
P 0.2500 0.7500 0.5000 [2 per cell]  4 Cu 2.43

No. 2
CdGeAsO: relaxed, PBE.

Properties
DFT total energy   -16.60 eV/f.u.
Calculated volume   78.1 Å³/f.u.
E above lowest polymorph   13.1 meV per atom

a b c (Å): 4.8506 3.9214 8.2166
angles (deg): 90.00 90.00 90.00
With the nearest neighbours (Å) after each atom.
Space group Pmc2_1 (No. 26)
One atom of each set of equivalent atoms:
Cd 0.0000 0.0215 0.0000 [2 per cell]  2 O 2.49, 2 As 2.71-2.79
Ge 0.5000 0.3997 0.3051 [2 per cell]  1 O 1.78
As 0.0000 0.4652 0.7343 [2 per cell]  2 Ge 2.55, 3 Cd 2.71-2.79
O 0.5000 0.0441 0.4402 [2 per cell]  1 Ge 1.78

No. 3
ScZnFeCu: relaxed, PBE.

Properties
DFT total energy   -19.68 eV/f.u.
Calculated volume   57.6 Å³/f.u.
E above lowest polymorph   6.0 meV per atom
E_form   -0.015 eV/atom

a b c (Å): 6.1303 6.1303 6.1303
angles (deg): 90.00 90.00 90.00
With the nearest neighbours (Å) after each atom.
Space group F-43m (No. 216)
One atom of each set of equivalent atoms:
Sc 0.0000 0.0000 0.0000 [4 per cell]  4 Fe 2.65, 4 Cu 2.65
Zn 0.0000 0.0000 0.5000 [4 per cell]  4 Cu 2.65, 4 Fe 2.65
Fe 0.2500 0.2500 0.2500 [4 per cell]  4 Zn 2.65, 4 Sc 2.65
Cu 0.2500 0.2500 0.7500 [4 per cell]  4 Sc 2.65, 4 Zn 2.65

No. 4
LaZnAs: relaxed, PBE.

Properties
DFT total energy   -12.40 eV/f.u.
Calculated volume   86.9 Å³/f.u.

a b c (Å): 7.0309 7.0309 7.0309
angles (deg): 90.00 90.00 90.00
With the nearest neighbours (Å) after each atom.
Space group F-43m (No. 216)
One atom of each set of equivalent atoms:
La 0.0000 0.0000 0.0000 [4 per cell]  4 Zn 3.04, 4 As 3.04
Zn 0.2500 0.2500 0.2500 [4 per cell]  4 La 3.04
As 0.2500 0.2500 0.7500 [4 per cell]  4 La 3.04

No. 5
CsTbAg3O4: relaxed, PBE.

Properties
DFT total energy   -41.92 eV/f.u.
Calculated volume   196.3 Å³/f.u.

a b c (Å): 5.8118 5.8118 5.8118
angles (deg): 90.00 90.00 90.00
With the nearest neighbours (Å) after each atom.
Space group P-43m (No. 215)
One atom of each set of equivalent atoms:
Cs 0.0000 0.0000 0.0000 [1 per cell]  4 O 2.89
Tb 0.5000 0.5000 0.5000 [1 per cell]  4 O 2.14
Ag 0.0000 0.5000 0.5000 [3 per cell]  4 O 2.42
O 0.2872 0.2872 0.2872 [4 per cell]  1 Tb 2.14

No. 6
Pr3SbO7: relaxed, PBE.

Properties
DFT total energy   -84.17 eV/f.u.
Calculated volume   159.5 Å³/f.u.

a b c (Å): 10.9940 7.5440 7.6914
angles (deg): 90.00 90.00 90.00
With the nearest neighbours (Å) after each atom.
Space group Cmcm (No. 63)
One atom of each set of equivalent atoms:
Pr 0.0000 0.0000 0.0000 [4 per cell]  4 O 2.41
Pr 0.2259 0.2957 0.2500 [8 per cell]  6 O 2.31-2.46
Sb 0.0000 0.5000 0.0000 [4 per cell]  6 O 1.99-2.02
O 0.0000 0.4177 0.2500 [4 per cell]  2 Sb 2.02
O 0.1260 0.3134 0.5357 [16 per cell]  1 Sb 1.99
O 0.1313 0.0216 0.2500 [8 per cell]  4 Pr 2.31-2.41

- What is the calculated volume in the first record?
  55.0 Å³/f.u.

- Which of these has the lowest calculated volume?
  InCuP